# 1
First-principles (PBE-GGA) data for a geometry-optimized YSc2Pb structure, as listed in Alexandria.

Values from the calculation:
M_tot = 0.00 μB per cell
energy of formation = -0.100 eV/atom

abc: 10.6848 10.6848 10.6848
angles: 18.53 18.53 18.53
Sites, in units of the cell vectors:
1 Pb 0.7500 0.7500 0.7500
2 Sc 0.0036 0.0036 0.0036
3 Sc 0.4964 0.4964 0.4964
4 Y 0.2500 0.2500 0.2500

***

# 2
First-principles (PBE-GGA) data for a geometry-optimized YSc2Pb structure, as listed in Alexandria.

Values from the calculation:
M_tot = 2.00 μB per cell
energy of formation = -0.265 eV/atom

abc: 4.6987 4.6723 4.6723
angles: 90.00 90.00 90.00
Last column: magnetic moment on the atom in μB.
Sites, in units of the cell vectors:
1 Pb 0.5000 0.0000 0.5000  -0.02
2 Y 0.5000 0.5000 0.0000  0.31
3 Sc 0.0000 0.0000 0.0000  0.48
4 Sc 0.0000 0.5000 0.5000  0.48

***

# 3
First-principles (PBE-GGA) data for a geometry-optimized Y2ScPb2 structure, as listed in Alexandria.

Values from the calculation:
M_tot = 0.00 μB per cell
energy of formation = -0.466 eV/atom

abc: 4.9761 6.4785 9.1631
angles: 90.00 105.76 90.00
Sites, in units of the cell vectors:
1 Y 0.9999 0.7272 0.9998
2 Y 0.8051 0.4761 0.6101
3 Y 0.1949 0.9761 0.3899
4 Y 0.0001 0.2272 0.0002
5 Sc 0.3989 0.9777 0.7978
6 Sc 0.6011 0.4777 0.2022
7 Pb 0.4225 0.4772 0.8449
8 Pb 0.8154 0.9762 0.6307
9 Pb 0.1846 0.4762 0.3693
10 Pb 0.5775 0.9772 0.1551